# 1
{"formula": "CaPRu2", "functional": "PBE", "state": "relaxed", "magmom_total_mub_per_atom": 0.000, "formation_energy_mev_per_atom": 199, "spacegroup": "No. 119", "lattice": [[5.062, 0.000, 0.000], [2.191, 4.563, 0.000], [-3.627, -2.282, 2.696]], "species": ["Ca", "P", "Ru", "Ru"], "fractional_positions": [[0.500, 0.500, 0.000], [0.750, 0.250, 0.500], [0.000, 0.000, 0.000], [0.250, 0.750, 0.500]]}

=====

# 2
{"formula": "CaPRu2", "functional": "PBE", "state": "relaxed", "magmom_total_mub_per_atom": 0.000, "formation_energy_mev_per_atom": 276, "spacegroup": "No. 47", "lattice": [[3.256, 0.000, 0.000], [0.000, 4.648, 0.000], [0.000, 0.000, 4.185]], "species": ["Ca", "P", "Ru", "Ru"], "fractional_positions": [[0.500, 0.000, 0.500], [0.000, 0.500, 0.500], [0.000, 0.000, 0.000], [0.500, 0.500, 0.000]]}

=====

# 3
{"formula": "Ca2P4Ru", "functional": "PBE", "state": "relaxed", "magmom_total_mub_per_atom": 0.000, "formation_energy_mev_per_atom": -821, "spacegroup": "No. 14", "lattice": [[5.996, 0.000, 0.000], [0.000, 5.998, -0.002], [0.000, -0.244, 7.594]], "species": ["Ca", "Ca", "Ca", "Ca", "P", "P", "P", "P", "P", "P", "P", "P", "Ru", "Ru"], "fractional_positions": [[0.005, 0.269, 0.673], [0.505, 0.231, 0.327], [0.995, 0.731, 0.327], [0.495, 0.769, 0.673], [0.635, 0.130, 0.961], [0.135, 0.370, 0.039], [0.365, 0.870, 0.039], [0.865, 0.630, 0.961], [0.004, 0.231, 0.287], [0.504, 0.269, 0.713], [0.996, 0.769, 0.713], [0.496, 0.731, 0.287], [0.000, 0.000, 0.000], [0.500, 0.500, 0.000]]}

=====

# 4
{"formula": "CaP2Ru", "functional": "PBE", "state": "relaxed", "magmom_total_mub_per_atom": 0.028, "formation_energy_mev_per_atom": -370, "e_above_lowest_polymorph_mev_per_atom": 336, "spacegroup": "No. 47", "lattice": [[-1.431, 2.757, -0.205], [-2.024, -1.195, -1.943], [-4.020, -1.697, 5.232]], "species": ["Ca", "P", "P", "Ru"], "fractional_positions": [[0.500, 0.500, 0.750], [0.000, 0.000, 0.050], [0.000, 0.000, 0.450], [0.500, 0.500, 0.250]]}

=====

# 5
{"formula": "CaPRu2", "functional": "PBE", "state": "relaxed", "magmom_total_mub_per_atom": 0.000, "formation_energy_mev_per_atom": -102, "spacegroup": "No. 10", "lattice": [[-3.359, -1.426, 0.123], [1.206, -2.772, 0.815], [0.197, 0.071, 6.225]], "species": ["Ca", "P", "Ru", "Ru"], "fractional_positions": [[0.500, 0.250, 0.250], [0.500, 0.750, 0.750], [0.000, 0.898, 0.938], [0.000, 0.602, 0.562]]}

=====

# 6
{"formula": "Ca2P7Ru12", "functional": "PBE", "state": "relaxed", "magmom_total_mub_per_atom": 0.000, "formation_energy_mev_per_atom": -647, "spacegroup": "No. 174", "lattice": [[3.952, 0.000, 0.000], [0.000, 8.173, -4.719], [0.000, 0.000, 9.438]], "species": ["Ca", "Ca", "P", "P", "P", "P", "P", "P", "P", "Ru", "Ru", "Ru", "Ru", "Ru", "Ru", "Ru", "Ru", "Ru", "Ru", "Ru", "Ru"], "fractional_positions": [[0.500, 0.000, 0.000], [0.000, 0.667, 0.333], [0.000, 0.333, 0.667], [0.000, 0.023, 0.780], [0.000, 0.757, 0.977], [0.000, 0.220, 0.243], [0.500, 0.617, 0.553], [0.500, 0.936, 0.383], [0.500, 0.447, 0.064], [0.500, 0.893, 0.619], [0.500, 0.726, 0.107], [0.500, 0.381, 0.274], [0.500, 0.248, 0.787], [0.500, 0.538, 0.752], [0.500, 0.213, 0.462], [0.000, 0.063, 0.558], [0.000, 0.496, 0.937], [0.000, 0.442, 0.504], [0.000, 0.756, 0.730], [0.000, 0.975, 0.244], [0.000, 0.270, 0.025]]}

=====

# 7
{"formula": "CaPRu2", "functional": "PBE", "state": "relaxed", "magmom_total_mub_per_atom": 0.000, "formation_energy_mev_per_atom": -66, "spacegroup": "No. 123", "lattice": [[-2.939, -0.185, -0.617], [-0.601, -0.251, 2.937], [-0.543, 6.989, 0.486]], "species": ["Ca", "P", "Ru", "Ru"], "fractional_positions": [[0.500, 0.500, 0.250], [0.500, 0.500, 0.750], [0.000, 0.000, 0.938], [0.000, 0.000, 0.562]]}

=====

# 8
{"formula": "CaP2Ru", "functional": "PBE", "state": "relaxed", "magmom_total_mub_per_atom": 0.000, "formation_energy_mev_per_atom": -66, "e_above_lowest_polymorph_mev_per_atom": 639, "spacegroup": "No. 12", "lattice": [[6.557, -0.005, -0.012], [-2.451, 3.786, -0.023], [1.655, 1.080, 2.618]], "species": ["Ca", "P", "P", "Ru"], "fractional_positions": [[0.500, 0.500, 0.000], [0.000, 0.000, 0.000], [0.500, 0.000, 0.500], [0.000, 0.500, 0.500]]}

=====

# 9
{"formula": "Ca2P4Ru5", "functional": "PBE", "state": "relaxed", "magmom_total_mub_per_atom": 0.000, "formation_energy_mev_per_atom": -723, "spacegroup": "No. 69", "lattice": [[-2.420, 4.108, -3.301], [-6.023, 0.695, 0.186], [-0.612, 6.033, 2.863]], "species": ["Ca", "Ca", "P", "P", "P", "P", "Ru", "Ru", "Ru", "Ru", "Ru"], "fractional_positions": [[0.864, 0.000, 0.272], [0.136, 0.000, 0.728], [0.480, 0.305, 0.735], [0.520, 0.695, 0.265], [0.215, 0.305, 0.265], [0.785, 0.695, 0.735], [0.500, 0.000, 0.000], [0.000, 0.500, 0.000], [0.500, 0.500, 0.000], [0.250, 0.500, 0.500], [0.750, 0.500, 0.500]]}

=====

# 10
{"formula": "Ca2PRu2", "functional": "PBE", "state": "relaxed", "magmom_total_mub_per_atom": 0.200, "formation_energy_mev_per_atom": 801, "e_above_lowest_polymorph_mev_per_atom": 1133, "spacegroup": "No. 127", "lattice": [[-6.664, 2.561, -1.367], [-2.657, -3.999, 5.457], [0.611, 2.872, 2.402]], "species": ["Ru", "Ru", "Ru", "Ru", "Ca", "Ca", "Ca", "Ca", "P", "P"], "fractional_positions": [[0.164, 0.664, 0.500], [0.664, 0.836, 0.500], [0.836, 0.336, 0.500], [0.336, 0.164, 0.500], [0.355, 0.855, 0.000], [0.855, 0.645, 0.000], [0.645, 0.145, 0.000], [0.145, 0.355, 0.000], [0.000, 0.000, 0.000], [0.500, 0.500, 0.000]]}

=====

# 11
{"formula": "CaP2Ru", "functional": "PBE", "state": "relaxed", "magmom_total_mub_per_atom": 0.000, "formation_energy_mev_per_atom": -390, "e_above_lowest_polymorph_mev_per_atom": 316, "spacegroup": "No. 8", "lattice": [[4.647, 0.115, 0.010], [3.448, 3.117, 0.010], [1.311, 0.523, 5.065]], "species": ["Ca", "P", "P", "Ru"], "fractional_positions": [[0.249, 0.249, 0.230], [0.028, 0.028, 0.913], [0.750, 0.750, 0.727], [0.474, 0.474, 0.630]]}

=====

# 12
{"formula": "CaPRu2", "functional": "PBE", "state": "relaxed", "magmom_total_mub_per_atom": 0.000, "formation_energy_mev_per_atom": 102, "spacegroup": "No. 123", "lattice": [[-1.003, -2.998, -2.910], [3.518, -2.221, 1.073], [-1.706, -1.615, 2.252]], "species": ["Ca", "P", "Ru", "Ru"], "fractional_positions": [[0.500, 0.000, 0.500], [0.000, 0.500, 0.500], [0.000, 0.000, 0.000], [0.500, 0.500, 0.000]]}

=====

# 13
{"formula": "Ca2PRu2", "functional": "PBE", "state": "relaxed", "magmom_total_mub_per_atom": 0.000, "formation_energy_mev_per_atom": -332, "e_above_lowest_polymorph_mev_per_atom": 0, "spacegroup": "No. 127", "lattice": [[-0.439, -4.501, -4.384], [6.127, 0.665, -1.297], [1.041, -3.262, 3.244]], "species": ["Ru", "Ru", "Ru", "Ru", "Ca", "Ca", "Ca", "Ca", "P", "P"], "fractional_positions": [[0.351, 0.851, 0.000], [0.851, 0.649, 0.000], [0.649, 0.149, 0.000], [0.149, 0.351, 0.000], [0.173, 0.673, 0.500], [0.673, 0.827, 0.500], [0.827, 0.327, 0.500], [0.327, 0.173, 0.500], [0.000, 0.000, 0.000], [0.500, 0.500, 0.000]]}

=====

# 14
{"formula": "CaP2Ru2", "functional": "PBE", "state": "relaxed", "magmom_total_mub_per_atom": 0.000, "formation_energy_mev_per_atom": -514, "spacegroup": "No. 139", "lattice": [[4.237, 0.000, 0.000], [0.000, 4.237, 0.000], [2.118, 2.118, 4.697]], "species": ["Ru", "Ru", "Ca", "P", "P"], "fractional_positions": [[0.363, 0.363, 0.273], [0.637, 0.637, 0.727], [0.000, 0.000, 0.000], [0.750, 0.250, 0.500], [0.250, 0.750, 0.500]]}

=====

# 15
{"formula": "CaPRu2", "functional": "PBE", "state": "relaxed", "magmom_total_mub_per_atom": 0.228, "formation_energy_mev_per_atom": 289, "spacegroup": "No. 216", "lattice": [[2.555, -0.868, 3.605], [1.479, 3.382, 2.578], [-1.676, 0.575, 4.139]], "species": ["Ca", "P", "Ru", "Ru"], "fractional_positions": [[0.500, 0.500, 0.500], [0.250, 0.250, 0.250], [0.000, 0.000, 0.000], [0.750, 0.750, 0.750]]}

=====

# 16
{"formula": "CaPRu2", "functional": "PBE", "state": "relaxed", "magmom_total_mub_per_atom": 0.000, "formation_energy_mev_per_atom": -134, "spacegroup": "No. 12", "lattice": [[4.739, -0.033, -0.004], [3.777, 2.862, -0.004], [1.729, 0.574, 4.921]], "species": ["Ca", "P", "Ru", "Ru"], "fractional_positions": [[0.750, 0.750, 0.750], [0.250, 0.250, 0.250], [0.957, 0.957, 0.079], [0.543, 0.543, 0.421]]}

=====

# 17
{"formula": "CaP2Ru4", "functional": "PBE", "state": "relaxed", "magmom_total_mub_per_atom": 0.000, "formation_energy_mev_per_atom": -548, "spacegroup": "No. 65", "lattice": [[3.952, 0.000, 0.000], [0.000, 3.840, -1.140], [0.000, 0.009, 7.066]], "species": ["Ca", "P", "P", "Ru", "Ru", "Ru", "Ru"], "fractional_positions": [[0.000, 0.000, 0.000], [0.500, 0.588, 0.176], [0.500, 0.412, 0.824], [0.500, 0.819, 0.638], [0.000, 0.684, 0.369], [0.500, 0.181, 0.362], [0.000, 0.316, 0.631]]}

=====

# 18
{"formula": "CaP2Ru", "functional": "PBE", "state": "relaxed", "magmom_total_mub_per_atom": 0.000, "formation_energy_mev_per_atom": -252, "e_above_lowest_polymorph_mev_per_atom": 454, "spacegroup": "No. 99", "lattice": [[3.192, 0.000, 0.000], [0.000, 3.192, 0.000], [0.000, 0.000, 6.566]], "species": ["Ca", "P", "P", "Ru"], "fractional_positions": [[0.500, 0.500, 0.768], [0.000, 0.000, 0.049], [0.500, 0.500, 0.269], [0.000, 0.000, 0.414]]}

=====

# 19
{"formula": "Ca2P4Ru", "functional": "PBE", "state": "relaxed", "magmom_total_mub_per_atom": 0.000, "formation_energy_mev_per_atom": -821, "spacegroup": "No. 61", "lattice": [[5.993, 0.000, 0.000], [0.000, 5.999, 0.000], [0.000, 0.000, 15.192]], "species": ["Ca", "Ca", "Ca", "Ca", "Ca", "Ca", "Ca", "Ca", "P", "P", "P", "P", "P", "P", "P", "P", "P", "P", "P", "P", "P", "P", "P", "P", "Ru", "Ru", "Ru", "Ru"], "fractional_positions": [[0.003, 0.218, 0.336], [0.497, 0.782, 0.836], [0.997, 0.718, 0.164], [0.503, 0.282, 0.664], [0.997, 0.782, 0.664], [0.503, 0.218, 0.164], [0.003, 0.282, 0.836], [0.497, 0.718, 0.336], [0.134, 0.368, 0.020], [0.366, 0.632, 0.520], [0.866, 0.868, 0.480], [0.634, 0.132, 0.980], [0.866, 0.632, 0.980], [0.634, 0.368, 0.480], [0.134, 0.132, 0.520], [0.366, 0.868, 0.020], [0.003, 0.220, 0.143], [0.497, 0.780, 0.643], [0.997, 0.720, 0.357], [0.503, 0.280, 0.857], [0.997, 0.780, 0.857], [0.503, 0.220, 0.357], [0.003, 0.280, 0.643], [0.497, 0.720, 0.143], [0.000, 0.000, 0.000], [0.500, 0.000, 0.500], [0.000, 0.500, 0.500], [0.500, 0.500, 0.000]]}

=====

# 20
{"formula": "CaP3Ru3", "functional": "PBE", "state": "relaxed", "magmom_total_mub_per_atom": 0.000, "formation_energy_mev_per_atom": -541, "spacegroup": "No. 176", "lattice": [[4.039, 0.000, 0.000], [0.000, 7.594, -4.381], [0.000, -0.003, 8.767]], "species": ["Ca", "Ca", "P", "P", "P", "P", "P", "P", "Ru", "Ru", "Ru", "Ru", "Ru", "Ru"], "fractional_positions": [[0.250, 0.667, 0.333], [0.750, 0.333, 0.667], [0.250, 0.081, 0.378], [0.250, 0.622, 0.703], [0.250, 0.297, 0.919], [0.750, 0.919, 0.622], [0.750, 0.378, 0.297], [0.750, 0.703, 0.081], [0.250, 0.578, 0.945], [0.250, 0.055, 0.633], [0.250, 0.367, 0.422], [0.750, 0.422, 0.055], [0.750, 0.945, 0.367], [0.750, 0.633, 0.578]]}

=====

# 21
{"formula": "CaP2RuS", "functional": "PBE", "state": "relaxed", "magmom_total_mub_per_atom": 0.000, "formation_energy_uncorrected_mev_per_atom": -276, "e_above_lowest_polymorph_mev_per_atom": 0, "spacegroup": "No. 123", "lattice": [[4.447, 0.000, 0.000], [0.000, 4.447, 0.000], [0.000, 0.000, 5.409]], "species": ["Ru", "Ca", "S", "P", "P"], "fractional_positions": [[0.000, 0.000, 0.000], [0.500, 0.500, 0.500], [0.000, 0.000, 0.500], [0.000, 0.500, 0.000], [0.500, 0.000, 0.000]]}

=====

# 22
{"formula": "CaP2RuS", "functional": "PBE", "state": "relaxed", "magmom_total_mub_per_atom": 0.510, "formation_energy_uncorrected_mev_per_atom": 1486, "e_above_lowest_polymorph_mev_per_atom": 1761, "spacegroup": "No. 123", "lattice": [[-2.104, 3.319, 3.299], [-2.866, -3.774, 1.969], [3.587, -1.003, 3.298]], "species": ["Ru", "Ca", "S", "P", "P"], "fractional_positions": [[0.500, 0.500, 0.500], [0.000, 0.000, 0.000], [0.000, 0.000, 0.500], [0.000, 0.500, 0.000], [0.500, 0.000, 0.000]]}

=====

# 23
{"formula": "Ca2TcPRu", "functional": "PBE", "state": "relaxed", "magmom_total_mub_per_atom": 0.609, "formation_energy_mev_per_atom": 754, "spacegroup": "No. 123", "lattice": [[-0.358, -2.608, 4.766], [4.425, -2.911, -1.261], [2.567, 3.086, 1.882]], "species": ["Ru", "Ca", "Ca", "Tc", "P"], "fractional_positions": [[0.500, 0.500, 0.500], [0.000, 0.500, 0.000], [0.500, 0.000, 0.000], [0.000, 0.000, 0.000], [0.000, 0.000, 0.500]]}

=====

# 24
{"formula": "CaZn2PRu2", "functional": "PBE", "state": "relaxed", "magmom_total_mub_per_atom": 0.000, "formation_energy_mev_per_atom": -317, "spacegroup": "No. 123", "lattice": [[4.395, 0.000, 0.000], [0.000, 4.395, 0.000], [0.000, 0.000, 5.690]], "species": ["Ca", "Zn", "Zn", "P", "Ru", "Ru"], "fractional_positions": [[0.000, 0.000, 0.500], [0.500, 0.500, 0.723], [0.500, 0.500, 0.277], [0.000, 0.000, 0.000], [0.500, 0.000, 0.000], [0.000, 0.500, 0.000]]}